(1)
VASP calculation (GGA-PBE) on an optimized crystal structure of Re4GeAs2.

a b c (Å): 4.508 4.508 12.655
angles (deg): 90.00 90.00 90.00
Space group I4/mmm (No. 139)
Inequivalent atoms, fractional coordinates:
Re1 0.000 0.000 0.194 (multiplicity 4)
Re2 0.000 0.500 0.000 (multiplicity 4)
Ge1 0.000 0.000 0.000 (multiplicity 2)
As1 0.000 0.000 0.381 (multiplicity 4)

Output
- DOS(E_F): 0.628 states/eV per atom
- Energy of formation: 1.495 eV/atom

***

(2)
VASP calculation (GGA-PBE) on an optimized crystal structure of BiI2BrCl.

a b c (Å): 6.155 6.155 5.393
angles (deg): 90.00 90.00 90.00
Space group P4/mmm (No. 123)
Inequivalent atoms, fractional coordinates:
Bi1 0.000 0.000 0.000 (multiplicity 1)
I1 0.000 0.500 0.000 (multiplicity 2)
Br1 0.500 0.500 0.500 (multiplicity 1)
Cl1 0.000 0.000 0.500 (multiplicity 1)

Output
- DOS(E_F): 1.237 states/eV per atom
- E_form (uncorrected): -0.1705 eV/atom

***

(3)
VASP calculation (GGA-PBE) on an optimized crystal structure of BaSmZn2Au2.

a b c (Å): 4.6674 4.6674 8.0481
angles (deg): 90.00 90.00 120.00
Space group P-3m1 (No. 164)
Inequivalent atoms, fractional coordinates:
Ba1 0.0000 0.0000 0.0000 (multiplicity 1)
Sm1 0.0000 0.0000 0.5000 (multiplicity 1)
Zn1 0.3333 0.6667 0.7046 (multiplicity 2)
Au1 0.3333 0.6667 0.2974 (multiplicity 2)

Output
- DOS(E_F): 0.425 states/eV per atom
- Energy of formation: -0.615 eV/atom

***

(4)
VASP calculation (GGA-PBE) on an optimized crystal structure of YbTm6.

a b c (Å): 8.367 8.367 8.367
angles (deg): 90.00 90.00 90.00
Space group Im-3m (No. 229)
Inequivalent atoms, fractional coordinates:
Yb1 0.000 0.000 0.000 (multiplicity 2)
Tm1 0.000 0.250 0.500 (multiplicity 12)

Output
- DOS(E_F): 4.247 states/eV per atom
- Energy of formation: 1.482 eV/atom

***

(5)
VASP calculation (GGA-PBE) on an optimized crystal structure of HoTm3Ru.

a b c (Å): 5.310 5.310 5.310
angles (deg): 90.00 90.00 90.00
Space group Pm-3m (No. 221)
Inequivalent atoms, fractional coordinates:
Ho1 0.000 0.000 0.000 (multiplicity 1)
Tm1 0.000 0.500 0.500 (multiplicity 3)
Ru1 0.500 0.500 0.500 (multiplicity 1)

Output
- DOS(E_F): 1.429 states/eV per atom
- Energy of formation: -0.085 eV/atom

***

(6)
VASP calculation (GGA-PBE) on an optimized crystal structure of Er8Zn2Au.

a b c (Å): 17.596 5.031 6.831
angles (deg): 90.00 106.02 90.00
Space group C2/m (No. 12)
Inequivalent atoms, fractional coordinates:
Er1 0.027 0.000 0.274 (multiplicity 4)
Er2 0.092 0.500 0.956 (multiplicity 4)
Er3 0.166 0.500 0.472 (multiplicity 4)
Er4 0.202 0.000 0.822 (multiplicity 4)
Zn1 0.186 0.000 0.222 (multiplicity 4)
Au1 0.000 0.500 0.500 (multiplicity 2)

Output
- DOS(E_F): 0.938 states/eV per atom
- Energy of formation: -0.245 eV/atom

***

(7)
VASP calculation (GGA-PBE) on an optimized crystal structure of RbInGeS4.

a b c (Å): 8.955 12.869 7.600
angles (deg): 90.00 90.00 90.00
Space group Cmcm (No. 63)
Inequivalent atoms, fractional coordinates:
Rb1 0.000 0.000 0.000 (multiplicity 4)
In1 0.000 0.377 0.250 (multiplicity 4)
Ge1 0.000 0.370 0.750 (multiplicity 4)
S1 0.000 0.263 0.517 (multiplicity 8)
S2 0.193 0.481 0.750 (multiplicity 8)

Output
- E_form (uncorrected): -0.6580 eV/atom

***

(8)
VASP calculation (GGA-PBE) on an optimized crystal structure of Sc3Co.

a b c (Å): 9.3640 9.3640 3.0601
angles (deg): 90.00 90.00 120.00
Space group R-3m (No. 166, hexagonal axes)
Inequivalent atoms, fractional coordinates:
Sc1 0.0000 0.5000 0.0000 (multiplicity 9)
Co1 0.0000 0.0000 0.0000 (multiplicity 3)

Output
- DOS(E_F): 1.677 states/eV per atom
- Energy of formation: 0.195 eV/atom

***

(9)
VASP calculation (GGA-PBE) on an optimized crystal structure of Ba3DySb2O9.

a b c (Å): 6.0459 6.0459 7.3925
angles (deg): 90.00 90.00 120.00
Space group P-3m1 (No. 164)
Inequivalent atoms, fractional coordinates:
Ba1 0.0000 0.0000 0.0000 (multiplicity 1)
Ba2 0.3333 0.6667 0.6726 (multiplicity 2)
Dy1 0.0000 0.0000 0.5000 (multiplicity 1)
Sb1 0.3333 0.6667 0.1683 (multiplicity 2)
O1 0.0000 0.5000 0.0000 (multiplicity 3)
O2 0.1742 0.3485 0.3241 (multiplicity 6)

Output
- DOS(E_F): 0.190 states/eV per atom
- E_form (uncorrected): -2.4256 eV/atom

***

(10)
VASP calculation (GGA-PBE) on an optimized crystal structure of LiZrPb2.

a b c (Å): 11.420 3.334 5.224
angles (deg): 90.00 105.07 90.00
Space group Cm (No. 8)
Inequivalent atoms, fractional coordinates:
Li1 0.000 0.000 0.000 (multiplicity 2)
Zr1 0.237 0.000 0.589 (multiplicity 2)
Pb1 0.249 0.500 0.095 (multiplicity 2)
Pb2 0.499 0.000 0.520 (multiplicity 2)

Output
- DOS(E_F): 0.430 states/eV per atom
- Energy of formation: -0.170 eV/atom

***

(11)
VASP calculation (GGA-PBE) on an optimized crystal structure of LiLaPb2.

a b c (Å): 5.164 5.164 19.421
angles (deg): 90.00 90.00 90.00
Space group I-42d (No. 122)
Inequivalent atoms, fractional coordinates:
Li1 0.000 0.000 0.000 (multiplicity 4)
La1 0.000 0.000 0.500 (multiplicity 4)
Pb1 0.172 0.250 0.125 (multiplicity 8)

Output
- DOS(E_F): 0.146 states/eV per atom
- Energy of formation: -0.179 eV/atom

***

(12)
VASP calculation (GGA-PBE) on an optimized crystal structure of ScNbReMo.

a b c (Å): 6.480 6.480 6.480
angles (deg): 90.00 90.00 90.00
Space group F-43m (No. 216)
Inequivalent atoms, fractional coordinates:
Sc1 0.000 0.000 0.000 (multiplicity 4)
Nb1 0.000 0.000 0.500 (multiplicity 4)
Re1 0.250 0.250 0.750 (multiplicity 4)
Mo1 0.250 0.250 0.250 (multiplicity 4)

Output
- DOS(E_F): 1.374 states/eV per atom
- Energy of formation: -0.010 eV/atom

***

(13)
VASP calculation (GGA-PBE) on an optimized crystal structure of Tm4Bi3H.

a b c (Å): 9.613 8.314 6.216
angles (deg): 90.00 90.00 90.00
Space group Pmn2_1 (No. 31)
Inequivalent atoms, fractional coordinates:
Tm1 0.000 0.091 0.000 (multiplicity 2)
Tm2 0.000 0.833 0.481 (multiplicity 2)
Tm3 0.190 0.714 0.999 (multiplicity 4)
Bi1 0.000 0.193 0.504 (multiplicity 2)
Bi2 0.232 0.348 0.002 (multiplicity 4)
H1 0.000 0.838 0.839 (multiplicity 2)

Output
- DOS(E_F): 0.318 states/eV per atom
- Energy: -4.442 eV per atom

***

(14)
VASP calculation (GGA-PBE) on an optimized crystal structure of BBr.

a b c (Å): 5.434 7.278 8.062
angles (deg): 78.62 71.73 89.70
Space group P1 (No. 1)
Inequivalent atoms, fractional coordinates:
B1 0.000 0.000 0.000 (multiplicity 1)
B2 0.187 0.016 0.126 (multiplicity 1)
B3 0.459 0.144 0.086 (multiplicity 1)
B4 0.763 0.128 0.960 (multiplicity 1)
Br1 0.063 0.851 0.359 (multiplicity 1)
Br2 0.072 0.788 0.883 (multiplicity 1)
Br3 0.419 0.355 0.205 (multiplicity 1)
Br4 0.854 0.293 0.726 (multiplicity 1)

Output
- DOS(E_F): 0.000 states/eV per atom
- E_form (uncorrected): -0.0192 eV/atom

***

(15)
VASP calculation (GGA-PBE) on an optimized crystal structure of Ac4SbAs2Se.

a b c (Å): 7.935 4.593 7.990
angles (deg): 90.00 109.37 90.00
Space group P2/m (No. 10)
Inequivalent atoms, fractional coordinates:
Ac1 0.243 0.000 0.237 (multiplicity 2)
Ac2 0.252 0.500 0.762 (multiplicity 2)
Sb1 0.500 0.500 0.500 (multiplicity 1)
As1 0.000 0.500 0.000 (multiplicity 1)
As2 0.500 0.000 0.000 (multiplicity 1)
Se1 0.000 0.000 0.500 (multiplicity 1)

Output
- DOS(E_F): 0.244 states/eV per atom
- E_form (uncorrected): -1.5485 eV/atom

***

(16)
VASP calculation (GGA-PBE) on an optimized crystal structure of CaCoRh2.

a b c (Å): 2.858 4.299 5.434
angles (deg): 90.00 102.67 90.00
Space group P2/m (No. 10)
Inequivalent atoms, fractional coordinates:
Ca1 0.000 0.000 0.000 (multiplicity 1)
Co1 0.500 0.000 0.500 (multiplicity 1)
Rh1 0.332 0.500 0.712 (multiplicity 2)

Output
- DOS(E_F): 1.186 states/eV per atom
- Energy of formation: 0.110 eV/atom